Computed, not measured: TbPaV2O8 after structural relaxation at the PBE+U level of DFT.

a b c (Å): 6.018 6.018 6.018
angles (deg): 107.26 107.26 113.98
Positions (direct):
Tb: 0.250 0.750 0.500
Pa: 0.000 0.000 0.000
V: 0.750 0.250 0.500
V: 0.500 0.500 0.000
O: 0.376 0.065 0.311
O: 0.305 0.485 0.180
O: 0.305 0.125 0.820
O: 0.754 0.065 0.689
O: 0.875 0.695 0.180
O: 0.935 0.246 0.311
O: 0.935 0.624 0.689
O: 0.515 0.695 0.820

=====

Computed, not measured: TbPaVO6 after structural relaxation at the PBE+U level of DFT.

a b c (Å): 5.424 5.424 9.470
angles (deg): 90.00 90.00 120.00
Positions (direct):
Tb: 0.333 0.667 0.250
Tb: 0.667 0.333 0.750
Pa: 0.000 0.000 0.000
Pa: 0.000 0.000 0.500
V: 0.667 0.333 0.250
V: 0.333 0.667 0.750
O: 0.688 0.644 0.132
O: 0.956 0.312 0.132
O: 0.312 0.956 0.632
O: 0.044 0.688 0.868
O: 0.356 0.312 0.368
O: 0.956 0.644 0.368
O: 0.644 0.956 0.868
O: 0.688 0.044 0.368
O: 0.044 0.356 0.632
O: 0.356 0.044 0.132
O: 0.644 0.688 0.632
O: 0.312 0.356 0.868

=====

VASP energy per entry: -8.505; -8.655 eV per atom